A relaxed Hf2NbB2 crystal, computed with PBE-GGA.

Computed properties:
Calculated formation energy: -0.536 eV per atom
SG: P4/mbm, No. 127
M_tot: 0.00 μB/f.u.

CIF file:
```
data_Hf2NbB2
_chemical_formula_sum 'Hf4 Nb2 B4'
_space_group_name_H-M_alt 'P 1'
_space_group_IT_number 1
_cell_length_a 6.3996
_cell_length_b 6.3996
_cell_length_c 3.4278
_cell_angle_alpha 90.00
_cell_angle_beta 90.00
_cell_angle_gamma 90.00
loop_
_space_group_symop_operation_xyz
'x,y,z'
loop_
_atom_site_label
_atom_site_type_symbol
_atom_site_fract_x
_atom_site_fract_y
_atom_site_fract_z
B1 B 0.1012 0.3988 0.0000
Hf1 Hf 0.8177 0.3177 0.5000
Nb1 Nb 0.5000 0.5000 0.0000
Hf2 Hf 0.6823 0.8177 0.5000
Hf3 Hf 0.3177 0.1823 0.5000
Nb2 Nb 0.0000 0.0000 0.0000
B2 B 0.8988 0.6012 0.0000
B3 B 0.3988 0.8988 0.0000
B4 B 0.6012 0.1012 0.0000
Hf4 Hf 0.1823 0.6823 0.5000
```


A relaxed HfNb2B crystal, computed with PBE-GGA.

Computed properties:
Calculated formation energy: 0.151 eV per atom
SG: I-42d, No. 122
M_tot: 0.00 μB/f.u.

CIF file:
```
data_HfNb2B
_chemical_formula_sum 'Hf2 Nb4 B2'
_space_group_name_H-M_alt 'P 1'
_space_group_IT_number 1
_cell_length_a 7.4540
_cell_length_b 7.4540
_cell_length_c 5.8030
_cell_angle_alpha 50.04
_cell_angle_beta 50.04
_cell_angle_gamma 90.00
loop_
_space_group_symop_operation_xyz
'x,y,z'
loop_
_atom_site_label
_atom_site_type_symbol
_atom_site_fract_x
_atom_site_fract_y
_atom_site_fract_z
Nb1 Nb 0.3750 0.4511 0.7500
Nb2 Nb 0.2011 0.6250 0.2500
Hf1 Hf 0.0000 0.0000 0.0000
B1 B 0.5000 0.5000 0.0000
Nb3 Nb 0.8750 0.7989 0.7500
Hf2 Hf 0.7500 0.2500 0.5000
B2 B 0.2500 0.7500 0.5000
Nb4 Nb 0.5489 0.1250 0.2500
```


A relaxed Hf2NbB crystal, computed with PBE-GGA.

Computed properties:
Calculated formation energy: 0.230 eV per atom
SG: R-3m, No. 166
M_tot: 0.98 μB/f.u.

CIF file:
```
data_Hf2NbB
_chemical_formula_sum 'Hf2 Nb1 B1'
_space_group_name_H-M_alt 'P 1'
_space_group_IT_number 1
_cell_length_a 3.2511
_cell_length_b 3.2511
_cell_length_c 8.5484
_cell_angle_alpha 79.04
_cell_angle_beta 79.04
_cell_angle_gamma 60.00
loop_
_space_group_symop_operation_xyz
'x,y,z'
loop_
_atom_site_label
_atom_site_type_symbol
_atom_site_fract_x
_atom_site_fract_y
_atom_site_fract_z
Hf1 Hf 0.8863 0.8863 0.3412
Nb1 Nb 0.0000 0.0000 0.0000
B1 B 0.5000 0.5000 0.5000
Hf2 Hf 0.1137 0.1137 0.6588
```


A relaxed Hf2NbB crystal, computed with PBE-GGA.

Computed properties:
Calculated formation energy: 0.378 eV per atom
SG: Fm-3m, No. 225
M_tot: 0.00 μB/f.u.

CIF file:
```
data_Hf2NbB
_chemical_formula_sum 'Hf2 Nb1 B1'
_space_group_name_H-M_alt 'P 1'
_space_group_IT_number 1
_cell_length_a 4.5791
_cell_length_b 4.5791
_cell_length_c 4.5791
_cell_angle_alpha 60.00
_cell_angle_beta 60.00
_cell_angle_gamma 60.00
loop_
_space_group_symop_operation_xyz
'x,y,z'
loop_
_atom_site_label
_atom_site_type_symbol
_atom_site_fract_x
_atom_site_fract_y
_atom_site_fract_z
Hf1 Hf 0.2500 0.2500 0.2500
B1 B 0.0000 0.0000 0.0000
Nb1 Nb 0.5000 0.5000 0.5000
Hf2 Hf 0.7500 0.7500 0.7500
```


A relaxed HfNbB2 crystal, computed with PBE-GGA.

Computed properties:
Calculated formation energy: 0.498 eV per atom
SG: I-42d, No. 122
M_tot: 0.00 μB/f.u.

CIF file:
```
data_HfNbB2
_chemical_formula_sum 'Hf2 Nb2 B4'
_space_group_name_H-M_alt 'P 1'
_space_group_IT_number 1
_cell_length_a 5.1261
_cell_length_b 5.1261
_cell_length_c 6.2756
_cell_angle_alpha 65.89
_cell_angle_beta 65.89
_cell_angle_gamma 90.00
loop_
_space_group_symop_operation_xyz
'x,y,z'
loop_
_atom_site_label
_atom_site_type_symbol
_atom_site_fract_x
_atom_site_fract_y
_atom_site_fract_z
B1 B 0.8750 0.8540 0.7500
Hf1 Hf 0.7500 0.2500 0.5000
Nb1 Nb 0.5000 0.5000 0.0000
B2 B 0.3750 0.3960 0.7500
B3 B 0.6040 0.1250 0.2500
Hf2 Hf 0.0000 0.0000 0.0000
B4 B 0.1460 0.6250 0.2500
Nb2 Nb 0.2500 0.7500 0.5000
```


A relaxed Hf2NbB crystal, computed with PBE-GGA.

Computed properties:
Calculated formation energy: 0.308 eV per atom
SG: I-42d, No. 122
M_tot: 0.00 μB/f.u.

CIF file:
```
data_Hf2NbB
_chemical_formula_sum 'Hf4 Nb2 B2'
_space_group_name_H-M_alt 'P 1'
_space_group_IT_number 1
_cell_length_a 7.5239
_cell_length_b 7.5239
_cell_length_c 5.8844
_cell_angle_alpha 50.26
_cell_angle_beta 50.26
_cell_angle_gamma 90.00
loop_
_space_group_symop_operation_xyz
'x,y,z'
loop_
_atom_site_label
_atom_site_type_symbol
_atom_site_fract_x
_atom_site_fract_y
_atom_site_fract_z
Hf1 Hf 0.8750 0.7990 0.7500
Hf2 Hf 0.3750 0.4510 0.7500
Hf3 Hf 0.2010 0.6250 0.2500
B1 B 0.2500 0.7500 0.5000
B2 B 0.5000 0.5000 0.0000
Nb1 Nb 0.7500 0.2500 0.5000
Hf4 Hf 0.5490 0.1250 0.2500
Nb2 Nb 0.0000 0.0000 0.0000
```


A relaxed HfNb8B12 crystal, computed with PBE-GGA.

Computed properties:
Calculated formation energy: -0.811 eV per atom
SG: Immm, No. 71
M_tot: 0.00 μB/f.u.

CIF file:
```
data_HfNb8B12
_chemical_formula_sum 'Hf1 Nb8 B12'
_space_group_name_H-M_alt 'P 1'
_space_group_IT_number 1
_cell_length_a 21.3872
_cell_length_b 21.3872
_cell_length_c 21.3872
_cell_angle_alpha 171.52
_cell_angle_beta 171.05
_cell_angle_gamma 12.35
loop_
_space_group_symop_operation_xyz
'x,y,z'
loop_
_atom_site_label
_atom_site_type_symbol
_atom_site_fract_x
_atom_site_fract_y
_atom_site_fract_z
B1 B 0.5445 0.5445 0.0000
Nb1 Nb 0.3332 0.8332 0.5000
Nb2 Nb 0.6052 0.6052 0.0000
B2 B 0.8546 0.3546 0.5000
Hf1 Hf 0.0000 0.5000 0.5000
Nb3 Nb 0.2717 0.2717 0.0000
Nb4 Nb 0.9377 0.9377 0.0000
B3 B 0.1229 0.1229 0.0000
Nb5 Nb 0.6668 0.1668 0.5000
B4 B 0.1454 0.6454 0.5000
Nb6 Nb 0.0623 0.0623 0.0000
B5 B 0.4784 0.9784 0.5000
Nb7 Nb 0.3948 0.3948 0.0000
Nb8 Nb 0.7283 0.7283 0.0000
B6 B 0.2108 0.2108 0.0000
B7 B 0.8117 0.3117 0.5000
B8 B 0.7892 0.7892 0.0000
B9 B 0.4555 0.4555 0.0000
B10 B 0.8771 0.8771 0.0000
B11 B 0.1883 0.6883 0.5000
B12 B 0.5216 0.0216 0.5000
```


A relaxed HfNbB4 crystal, computed with PBE-GGA.

Computed properties:
Calculated formation energy: -0.872 eV per atom
SG: Immm, No. 71
M_tot: 0.00 μB/f.u.

CIF file:
```
data_HfNbB4
_chemical_formula_sum 'Hf1 Nb1 B4'
_space_group_name_H-M_alt 'P 1'
_space_group_IT_number 1
_cell_length_a 4.6316
_cell_length_b 4.6316
_cell_length_c 4.6316
_cell_angle_alpha 140.48
_cell_angle_beta 108.49
_cell_angle_gamma 84.92
loop_
_space_group_symop_operation_xyz
'x,y,z'
loop_
_atom_site_label
_atom_site_type_symbol
_atom_site_fract_x
_atom_site_fract_y
_atom_site_fract_z
Hf1 Hf 0.5000 0.5000 0.0000
Nb1 Nb 0.0000 0.0000 0.0000
B1 B 0.5837 0.2497 0.3341
B2 B 0.9156 0.2497 0.6659
B3 B 0.4163 0.7503 0.6659
B4 B 0.0844 0.7503 0.3341
```


A relaxed HfNbB4 crystal, computed with PBE-GGA.

Computed properties:
Calculated formation energy: -0.868 eV per atom
SG: P6/mmm, No. 191
M_tot: 0.00 μB/f.u.

CIF file:
```
data_HfNbB4
_chemical_formula_sum 'Hf1 Nb1 B4'
_space_group_name_H-M_alt 'P 1'
_space_group_IT_number 1
_cell_length_a 3.1348
_cell_length_b 3.1348
_cell_length_c 6.8043
_cell_angle_alpha 90.00
_cell_angle_beta 90.00
_cell_angle_gamma 120.00
loop_
_space_group_symop_operation_xyz
'x,y,z'
loop_
_atom_site_label
_atom_site_type_symbol
_atom_site_fract_x
_atom_site_fract_y
_atom_site_fract_z
B1 B 0.3333 0.6667 0.7462
B2 B 0.6667 0.3333 0.2538
B3 B 0.6667 0.3333 0.7462
Nb1 Nb 0.0000 0.0000 0.5000
Hf1 Hf 0.0000 0.0000 0.0000
B4 B 0.3333 0.6667 0.2538
```


A relaxed HfNb3B4 crystal, computed with PBE-GGA.

Computed properties:
Calculated formation energy: -0.368 eV per atom
SG: Immm, No. 71
M_tot: 0.00 μB/f.u.

CIF file:
```
data_HfNb3B4
_chemical_formula_sum 'Hf1 Nb3 B4'
_space_group_name_H-M_alt 'P 1'
_space_group_IT_number 1
_cell_length_a 3.2357
_cell_length_b 4.9300
_cell_length_c 7.1050
_cell_angle_alpha 110.28
_cell_angle_beta 103.16
_cell_angle_gamma 90.00
loop_
_space_group_symop_operation_xyz
'x,y,z'
loop_
_atom_site_label
_atom_site_type_symbol
_atom_site_fract_x
_atom_site_fract_y
_atom_site_fract_z
B1 B 0.3644 0.1921 0.7288
Hf1 Hf 0.5000 0.0000 0.0000
Nb1 Nb 0.8017 0.8016 0.6035
B2 B 0.3644 0.5370 0.7287
B3 B 0.6356 0.4630 0.2713
Nb2 Nb 0.0000 0.5000 0.0000
Nb3 Nb 0.1983 0.1984 0.3965
B4 B 0.6356 0.8079 0.2712
```


A relaxed HfNbB3 crystal, computed with PBE-GGA.

Computed properties:
Calculated formation energy: 1.481 eV per atom
SG: Pm-3m, No. 221
M_tot: 0.00 μB/f.u.

CIF file:
```
data_HfNbB3
_chemical_formula_sum 'Hf1 Nb1 B3'
_space_group_name_H-M_alt 'P 1'
_space_group_IT_number 1
_cell_length_a 4.1666
_cell_length_b 4.1666
_cell_length_c 4.1666
_cell_angle_alpha 90.00
_cell_angle_beta 90.00
_cell_angle_gamma 90.00
loop_
_space_group_symop_operation_xyz
'x,y,z'
loop_
_atom_site_label
_atom_site_type_symbol
_atom_site_fract_x
_atom_site_fract_y
_atom_site_fract_z
B1 B 0.0000 0.0000 0.5000
Hf1 Hf 0.0000 0.0000 0.0000
B2 B 0.0000 0.5000 0.0000
B3 B 0.5000 0.0000 0.0000
Nb1 Nb 0.5000 0.5000 0.5000
```


A relaxed Hf3NbB crystal, computed with PBE-GGA.

Computed properties:
Calculated formation energy: 0.046 eV per atom
SG: Pm-3m, No. 221
M_tot: 0.44 μB/f.u.

CIF file:
```
data_Hf3NbB
_chemical_formula_sum 'Hf3 Nb1 B1'
_space_group_name_H-M_alt 'P 1'
_space_group_IT_number 1
_cell_length_a 4.5836
_cell_length_b 4.5836
_cell_length_c 4.5836
_cell_angle_alpha 90.00
_cell_angle_beta 90.00
_cell_angle_gamma 90.00
loop_
_space_group_symop_operation_xyz
'x,y,z'
loop_
_atom_site_label
_atom_site_type_symbol
_atom_site_fract_x
_atom_site_fract_y
_atom_site_fract_z
Hf1 Hf 0.0000 0.0000 0.5000
Hf2 Hf 0.5000 0.0000 0.0000
B1 B 0.0000 0.0000 0.0000
Nb1 Nb 0.5000 0.5000 0.5000
Hf3 Hf 0.0000 0.5000 0.0000
```